(1)
Entry from the Alexandria database: a relaxed TiZnInCu crystal (PBE).

abc: 3.902 4.066 4.143
angles: 90.00 90.00 90.00
Fractional coordinates of all 4 atoms:
Ti: 0.000 0.000 0.000
Zn: 0.500 0.500 0.000
In: 0.500 0.000 0.500
Cu: 0.000 0.500 0.500

Properties
Calculated density, g/cm3: 7.37
DFT total energy, eV per atom: -4.081
Total moment, μB/f.u.: 0.00

***

(2)
Entry from the Alexandria database: a relaxed Sm3AlHg2 crystal (PBE).

abc: 3.731 3.731 11.455
angles: 90.00 90.00 90.00
Fractional coordinates of all 6 atoms:
Sm: 0.000 0.000 0.000
Sm: 0.000 0.000 0.341
Sm: 0.000 0.000 0.659
Al: 0.500 0.500 0.500
Hg: 0.500 0.500 0.171
Hg: 0.500 0.500 0.829

Properties
Calculated density, g/cm3: 9.15
Energy above the most stable polymorph in this dataset, meV per atom: 0.0
Total moment, μB/f.u.: 0.49

***

> Look up the calculated density of the first one.

7.37 g/cm3